(1)
Here is a geometry-optimized Pu2CuF8 structure from Alexandria via LeMat-Bulk. Energies are from PBE.

Structure (POSCAR):
```
Pu2CuF8
1.0
4.160 0.000 0.000
-2.080 6.393 -0.863
0.000 0.325 7.204
F Pu Cu
8 2 1
direct
0.424 0.847 0.213
0.262 0.524 0.912
0.785 0.571 0.429
0.908 0.816 0.820
0.576 0.153 0.787
0.092 0.184 0.180
0.215 0.429 0.571
0.738 0.476 0.088
0.255 0.510 0.250
0.745 0.490 0.750
0.500 0.000 0.000
```

## Properties
- Size of the total moment: 9.0 μB/f.u.
- Energy relative to the elements, uncorrected: -3.0415 eV per atom
- Space group: C2/m, No. 12
- Calculated total energy: -81.19 eV per cell
- Theoretical density: 6.06 g/cm³

(2)
Here is a geometry-optimized PmGe4Pd6 structure from Alexandria via LeMat-Bulk. Energies are from PBE.

Structure (POSCAR):
```
PmGe4Pd6
1.0
3.984 0.000 0.000
0.000 7.342 0.000
0.000 -3.671 6.359
Pd Ge Pm
6 4 1
direct
0.500 0.200 0.400
0.000 0.535 0.071
0.000 0.535 0.465
0.000 0.929 0.465
0.500 0.200 0.800
0.500 0.600 0.800
0.500 0.384 0.192
0.500 0.808 0.616
0.500 0.808 0.192
0.000 0.333 0.667
0.000 0.000 0.000
```

## Properties
- Size of the total moment: 0.0 μB/f.u.
- Space group: P-6m2, No. 187
- Calculated total energy: -61.83 eV per cell
- ΔE_f: -7.45 eV/f.u.
- Theoretical density: 9.59 g/cm³

(3)
Here is a geometry-optimized CsNa2PPd structure from Alexandria via LeMat-Bulk. Energies are from PBE.

Structure (POSCAR):
```
CsNa2PPd
1.0
5.553 0.000 0.000
0.000 5.553 0.000
0.000 0.000 4.704
Na Pd P Cs
2 1 1 1
direct
0.500 0.000 0.000
0.000 0.500 0.000
0.000 0.000 0.500
0.000 0.000 0.000
0.500 0.500 0.500
```

## Properties
- Size of the total moment: 0.0 μB/f.u.
- ΔE to the lowest computed polymorph: 0.000 eV/atom
- Space group: P4/mmm, No. 123
- Calculated total energy: -15.28 eV per cell
- ΔE_f: -1.18 eV/f.u.
- Theoretical density: 3.62 g/cm³

(4)
Here is a geometry-optimized Li3Zr3NbS8 structure from Alexandria via LeMat-Bulk. Energies are from PBE.

Structure (POSCAR):
```
Li3Zr3NbS8
1.0
-6.196 2.736 2.229
1.901 -6.589 1.965
3.695 5.853 3.087
S Li Zr Nb
8 3 3 1
direct
0.250 0.499 0.249
0.754 0.999 0.744
0.755 0.001 0.256
0.245 0.999 0.744
0.245 0.490 0.744
0.755 0.510 0.256
0.750 0.501 0.751
0.246 0.001 0.256
0.000 0.500 0.000
0.500 0.500 0.000
0.000 0.000 0.000
0.500 0.000 0.500
0.000 0.500 0.500
0.500 0.500 0.500
0.000 0.000 0.500
```

## Properties
- Size of the total moment: 0.0 μB/f.u.
- Energy relative to the elements, uncorrected: -1.4295 eV per atom
- Space group: R-3m, No. 166
- Calculated total energy: -95.92 eV per cell
- Theoretical density: 3.82 g/cm³

(5)
Here is a geometry-optimized LiSbH3 structure from Alexandria via LeMat-Bulk. Energies are from PBE.

Structure (POSCAR):
```
LiSbH3
1.0
-2.055 2.258 0.874
0.319 -2.607 4.037
4.663 3.016 -0.909
H Li Sb
3 1 1
direct
0.789 0.091 0.742
0.696 0.577 0.743
0.996 0.592 0.257
0.575 0.671 0.416
0.873 0.965 0.004
```

## Properties
- Size of the total moment: 0.0 μB/f.u.
- ΔE to the lowest computed polymorph: 0.192 eV/atom
- Space group: P1, No. 1
- Calculated total energy: -15.45 eV per cell
- Theoretical density: 2.93 g/cm³

(6)
Here is a geometry-optimized ReCCl3 structure from Alexandria via LeMat-Bulk. Energies are from PBE.

Structure (POSCAR):
```
ReCCl3
1.0
4.229 0.000 0.000
0.000 4.229 0.000
0.000 0.000 4.229
Cl Re C
3 1 1
direct
0.000 0.000 0.500
0.500 0.000 0.000
0.000 0.500 0.000
0.500 0.500 0.500
0.000 0.000 0.000
```

## Properties
- Size of the total moment: 0.0 μB/f.u.
- Energy relative to the elements, uncorrected: 2.1549 eV per atom
- ΔE to the lowest computed polymorph: 0.505 eV/atom
- Space group: Pm-3m, No. 221
- Calculated total energy: -16.44 eV per cell
- Theoretical density: 6.69 g/cm³

(7)
Here is a geometry-optimized TbTmSc2S4 structure from Alexandria via LeMat-Bulk. Energies are from PBE.

Structure (POSCAR):
```
TbTmSc2S4
1.0
3.767 0.000 0.000
0.000 6.569 -0.142
0.000 2.301 6.176
Sc S Tm Tb
2 4 1 1
direct
0.500 0.000 0.500
0.000 0.000 0.000
0.000 0.234 0.259
0.000 0.766 0.741
0.500 0.763 0.250
0.500 0.237 0.750
0.000 0.500 0.500
0.500 0.500 0.000
```

## Properties
- Size of the total moment: 0.0 μB/f.u.
- Energy relative to the elements, uncorrected: -1.9097 eV per atom
- Space group: P2/m, No. 10
- Calculated total energy: -53.55 eV per cell
- Theoretical density: 5.89 g/cm³

(8)
Here is a geometry-optimized ErFe2Co2B structure from Alexandria via LeMat-Bulk. Energies are from PBE.

Structure (POSCAR):
```
ErFe2Co2B
1.0
2.521 -4.288 0.000
2.521 4.288 0.000
0.000 0.000 6.944
B Co Er Fe
2 4 2 4
direct
0.170 0.830 0.502
0.830 0.170 0.502
0.500 0.000 0.711
0.837 0.163 0.000
0.000 0.500 0.711
0.163 0.837 0.000
0.500 0.500 0.998
0.500 0.500 0.504
0.000 0.000 0.286
0.000 0.500 0.284
0.000 0.000 0.717
0.500 0.000 0.284
```

## Properties
- Size of the total moment: 5.7 μB/f.u.
- Space group: Cmm2, No. 35
- Calculated total energy: -88.12 eV per cell
- ΔE_f: -1.68 eV/f.u.
- Theoretical density: 9.02 g/cm³

(9)
Here is a geometry-optimized Pr4Er2Th structure from Alexandria via LeMat-Bulk. Energies are from PBE.

Structure (POSCAR):
```
Pr4Er2Th
1.0
12.149 -3.139 -1.550
-9.534 8.158 -1.551
0.042 0.081 6.884
Pr Er Th
8 4 2
direct
0.091 0.702 0.086
0.755 0.865 0.414
0.722 0.185 0.132
0.185 0.722 0.632
0.865 0.755 0.914
0.339 0.302 0.368
0.303 0.339 0.868
0.702 0.091 0.586
0.577 0.262 0.543
0.784 0.969 0.957
0.969 0.784 0.457
0.262 0.577 0.043
0.479 0.229 0.000
0.229 0.479 0.500
```

## Properties
- Size of the total moment: 0.0 μB/f.u.
- ΔE to the lowest computed polymorph: 0.000 eV/atom
- Space group: Fdd2, No. 43
- Calculated total energy: -70.01 eV per cell
- ΔE_f: 0.66 eV/f.u.
- Theoretical density: 7.82 g/cm³

(10)
Here is a geometry-optimized Al2TeMo structure from Alexandria via LeMat-Bulk. Energies are from PBE.

Structure (POSCAR):
```
Al2TeMo
1.0
-1.801 -3.153 -3.285
1.362 -3.806 -2.763
-1.259 -3.550 3.186
Al Mo Te
2 1 1
direct
0.009 0.009 0.959
0.761 0.761 0.739
0.502 0.502 0.520
0.228 0.228 0.282
```

## Properties
- Size of the total moment: 0.0 μB/f.u.
- Energy relative to the elements, uncorrected: 0.1533 eV per atom
- Space group: Cm, No. 8
- Calculated total energy: -20.84 eV per cell
- Theoretical density: 6.24 g/cm³

(11)
Here is a geometry-optimized Na3CeEr3Te8 structure from Alexandria via LeMat-Bulk. Energies are from PBE.

Structure (POSCAR):
```
Na3CeEr3Te8
1.0
8.792 0.000 0.000
-4.396 7.613 -0.029
0.000 -5.049 7.599
Te Na Er Ce
8 3 3 1
direct
0.754 0.015 0.270
0.246 0.492 0.730
0.246 0.985 0.730
0.744 0.487 0.731
0.738 0.985 0.730
0.256 0.513 0.269
0.754 0.508 0.270
0.262 0.015 0.270
0.000 0.000 0.000
0.000 0.500 0.000
0.500 0.500 0.000
0.000 0.500 0.500
0.500 0.000 0.500
0.500 0.500 0.500
0.000 0.000 0.500
```

## Properties
- Size of the total moment: 0.1 μB/f.u.
- Energy relative to the elements, uncorrected: -1.2664 eV per atom
- Space group: R-3m, No. 166
- Calculated total energy: -67.71 eV per cell
- Theoretical density: 5.67 g/cm³

(12)
Here is a geometry-optimized CePmTh2Sb5 structure from Alexandria via LeMat-Bulk. Energies are from PBE.

Structure (POSCAR):
```
CePmTh2Sb5
1.0
5.371 0.000 0.000
0.000 5.371 0.000
0.000 0.000 11.649
Sb Th Ce Pm
5 2 1 1
direct
0.000 0.000 0.248
0.000 0.000 0.752
0.500 0.000 0.500
0.500 0.500 0.000
0.000 0.500 0.500
0.500 0.500 0.688
0.500 0.500 0.312
0.000 0.000 0.000
0.000 0.000 0.500
```

## Properties
- Size of the total moment: 0.6 μB/f.u.
- Energy relative to the elements, uncorrected: -0.0918 eV per atom
- Space group: P4/mmm, No. 123
- Calculated total energy: -46.96 eV per cell
- Theoretical density: 6.71 g/cm³